Entry i
## LaY6Er3 (PBE-GGA)

Data for an optimized crystal structure of LaY6Er3.

D(E_F), states/eV per cell: 37.94
Volume, Å³/cell: 1310
Total magnetization, μB/f.u.: 0.000

CIF file:
```
data_LaY6Er3
_symmetry_space_group_name_H-M 'C m c 21'
_symmetry_Int_Tables_number 36
_symmetry_space_group_name_Hall 'C 2c -2'
_cell_length_a 7.452
_cell_length_b 18.772
_cell_length_c 9.362
_cell_angle_alpha 90.00
_cell_angle_beta 90.00
_cell_angle_gamma 90.00
loop_
_atom_site_label
_atom_site_type_symbol
_atom_site_fract_x
_atom_site_fract_y
_atom_site_fract_z
_atom_site_occupancy
La1 La 0.000 0.211 0.000 1
Y1 Y 0.000 0.038 0.342 1
Y2 Y 0.000 0.289 0.499 1
Y3 Y 0.247 0.313 0.800 1
Y4 Y 0.247 0.440 0.545 1
Er1 Er 0.000 0.461 0.844 1
Er2 Er 0.249 0.378 0.168 1
```



Entry ii
## LaY6Er3 (PBE-GGA)

Data for an optimized crystal structure of LaY6Er3.

D(E_F), states/eV per cell: 64.86
Volume, Å³/cell: 989
Total magnetization, μB/f.u.: 0.000

CIF file:
```
data_LaY6Er3
_symmetry_space_group_name_H-M 'R 3'
_symmetry_Int_Tables_number 146
_symmetry_space_group_name_Hall 'R 3'
_cell_length_a 9.8537
_cell_length_b 9.8537
_cell_length_c 11.7620
_cell_angle_alpha 90.00
_cell_angle_beta 90.00
_cell_angle_gamma 120.00
loop_
_atom_site_label
_atom_site_type_symbol
_atom_site_fract_x
_atom_site_fract_y
_atom_site_fract_z
_atom_site_occupancy
La1 La 0.0000 0.0000 0.0000 1
Y1 Y 0.0012 0.3307 0.3366 1
Y2 Y 0.0024 0.6642 0.1706 1
Er1 Er 0.0000 0.0000 0.2472 1
Er2 Er 0.0000 0.0000 0.4961 1
Er3 Er 0.0000 0.0000 0.7400 1
```



Most stable: entry i. Least stable: entry ii.



Entry i
## LaY4Er4 (PBE-GGA)

Data for an optimized crystal structure of LaY4Er4.

D(E_F), states/eV per cell: 32.60
Volume, Å³/cell: 581
Total magnetization, μB/f.u.: 0.000

CIF file:
```
data_LaY4Er4
_symmetry_space_group_name_H-M 'P -1'
_symmetry_Int_Tables_number 2
_symmetry_space_group_name_Hall '-P 1'
_cell_length_a 6.758
_cell_length_b 8.696
_cell_length_c 10.668
_cell_angle_alpha 78.15
_cell_angle_beta 74.93
_cell_angle_gamma 76.04
loop_
_atom_site_label
_atom_site_type_symbol
_atom_site_fract_x
_atom_site_fract_y
_atom_site_fract_z
_atom_site_occupancy
La1 La 0.240 0.460 0.217 1
Y1 Y 0.074 0.172 0.791 1
Y2 Y 0.079 0.162 0.125 1
Y3 Y 0.246 0.479 0.545 1
Y4 Y 0.254 0.475 0.879 1
Er1 Er 0.085 0.160 0.462 1
Er2 Er 0.382 0.839 0.629 1
Er3 Er 0.390 0.844 0.960 1
Er4 Er 0.394 0.841 0.298 1
```



Entry ii
## LaY4Er4 (PBE-GGA)

Data for an optimized crystal structure of LaY4Er4.

D(E_F), states/eV per cell: 27.40
Volume, Å³/cell: 577
Total magnetization, μB/f.u.: 0.001

CIF file:
```
data_LaY4Er4
_symmetry_space_group_name_H-M 'I 4/m m m'
_symmetry_Int_Tables_number 139
_symmetry_space_group_name_Hall '-I 4 2'
_cell_length_a 10.697
_cell_length_b 10.697
_cell_length_c 5.043
_cell_angle_alpha 90.00
_cell_angle_beta 90.00
_cell_angle_gamma 90.00
loop_
_atom_site_label
_atom_site_type_symbol
_atom_site_fract_x
_atom_site_fract_y
_atom_site_fract_z
_atom_site_occupancy
La1 La 0.000 0.000 0.000 1
Y1 Y 0.169 0.169 0.500 1
Er1 Er 0.000 0.337 0.000 1
```



Most stable: entry ii. Least stable: entry i.



Entry i
## LaY12Er7 (PBE-GGA)

Data for an optimized crystal structure of LaY12Er7.

D(E_F), states/eV per cell: 50.13
Volume, Å³/cell: 1461
Total magnetization, μB/f.u.: 0.000

CIF file:
```
data_LaY12Er7
_symmetry_space_group_name_H-M 'I m -3'
_symmetry_Int_Tables_number 204
_symmetry_space_group_name_Hall '-I 2 2 3'
_cell_length_a 11.347
_cell_length_b 11.347
_cell_length_c 11.347
_cell_angle_alpha 90.00
_cell_angle_beta 90.00
_cell_angle_gamma 90.00
loop_
_atom_site_label
_atom_site_type_symbol
_atom_site_fract_x
_atom_site_fract_y
_atom_site_fract_z
_atom_site_occupancy
La1 La 0.000 0.000 0.000 1
Y1 Y 0.000 0.258 0.257 1
Er1 Er 0.000 0.000 0.500 1
Er2 Er 0.250 0.250 0.250 1
```



Entry ii
## LaY12Er7 (PBE-GGA)

Data for an optimized crystal structure of LaY12Er7.

D(E_F), states/eV per cell: 112.61
Volume, Å³/cell: 1988
Total magnetization, μB/f.u.: 0.000

CIF file:
```
data_LaY12Er7
_symmetry_space_group_name_H-M 'R -3'
_symmetry_Int_Tables_number 148
_symmetry_space_group_name_Hall '-R 3'
_cell_length_a 12.0874
_cell_length_b 12.0874
_cell_length_c 15.7121
_cell_angle_alpha 90.00
_cell_angle_beta 90.00
_cell_angle_gamma 120.00
loop_
_atom_site_label
_atom_site_type_symbol
_atom_site_fract_x
_atom_site_fract_y
_atom_site_fract_z
_atom_site_occupancy
La1 La 0.0000 0.0000 0.0000 1
Y1 Y 0.0188 0.5702 0.2150 1
Y2 Y 0.0490 0.8606 0.2963 1
Er1 Er 0.0000 0.0000 0.5000 1
Er2 Er 0.0484 0.4623 0.5841 1
```



Most stable: entry ii. Least stable: entry i.



Entry i
## LaYEr5 (PBE-GGA)

Data for an optimized crystal structure of LaYEr5.

D(E_F), states/eV per cell: 44.39
Volume, Å³/cell: 927
Total magnetization, μB/f.u.: 0.001

CIF file:
```
data_LaYEr5
_symmetry_space_group_name_H-M 'I m m a'
_symmetry_Int_Tables_number 74
_symmetry_space_group_name_Hall '-I 2b 2'
_cell_length_a 7.087
_cell_length_b 11.503
_cell_length_c 11.376
_cell_angle_alpha 90.00
_cell_angle_beta 90.00
_cell_angle_gamma 90.00
loop_
_atom_site_label
_atom_site_type_symbol
_atom_site_fract_x
_atom_site_fract_y
_atom_site_fract_z
_atom_site_occupancy
La1 La 0.250 0.250 0.250 1
Y1 Y 0.000 0.250 0.544 1
Er1 Er 0.000 0.033 0.751 1
Er2 Er 0.000 0.250 0.958 1
Er3 Er 0.250 0.000 0.000 1
```



Entry ii
## LaYEr5 (PBE-GGA)

Data for an optimized crystal structure of LaYEr5.

D(E_F), states/eV per cell: 19.41
Volume, Å³/cell: 587
Total magnetization, μB/f.u.: 0.000

CIF file:
```
data_LaYEr5
_symmetry_space_group_name_H-M 'I m m m'
_symmetry_Int_Tables_number 71
_symmetry_space_group_name_Hall '-I 2 2'
_cell_length_a 5.781
_cell_length_b 8.590
_cell_length_c 11.823
_cell_angle_alpha 90.00
_cell_angle_beta 90.00
_cell_angle_gamma 90.00
loop_
_atom_site_label
_atom_site_type_symbol
_atom_site_fract_x
_atom_site_fract_y
_atom_site_fract_z
_atom_site_occupancy
La1 La 0.000 0.000 0.000 1
Y1 Y 0.000 0.000 0.500 1
Er1 Er 0.000 0.000 0.253 1
Er2 Er 0.000 0.321 0.500 1
Er3 Er 0.000 0.500 0.000 1
```



Most stable: entry i. Least stable: entry ii.



Entry i
## La7Y2Er (PBE-GGA)

Data for an optimized crystal structure of La7Y2Er.

D(E_F), states/eV per cell: 35.37
Volume, Å³/cell: 741
Total magnetization, μB/f.u.: 0.000

CIF file:
```
data_La7Y2Er
_symmetry_space_group_name_H-M 'C m m m'
_symmetry_Int_Tables_number 65
_symmetry_space_group_name_Hall '-C 2 2'
_cell_length_a 12.213
_cell_length_b 17.124
_cell_length_c 3.545
_cell_angle_alpha 90.00
_cell_angle_beta 90.00
_cell_angle_gamma 90.00
loop_
_atom_site_label
_atom_site_type_symbol
_atom_site_fract_x
_atom_site_fract_y
_atom_site_fract_z
_atom_site_occupancy
La1 La 0.000 0.000 0.000 1
La2 La 0.000 0.179 0.500 1
La3 La 0.245 0.130 0.000 1
Y1 Y 0.000 0.335 0.000 1
Er1 Er 0.000 0.500 0.500 1
```



Entry ii
## La7Y2Er (PBE-GGA)

Data for an optimized crystal structure of La7Y2Er.

D(E_F), states/eV per cell: 32.20
Volume, Å³/cell: 707
Total magnetization, μB/f.u.: 0.000

CIF file:
```
data_La7Y2Er
_symmetry_space_group_name_H-M 'C m m m'
_symmetry_Int_Tables_number 65
_symmetry_space_group_name_Hall '-C 2 2'
_cell_length_a 6.813
_cell_length_b 29.480
_cell_length_c 3.520
_cell_angle_alpha 90.00
_cell_angle_beta 90.00
_cell_angle_gamma 90.00
loop_
_atom_site_label
_atom_site_type_symbol
_atom_site_fract_x
_atom_site_fract_y
_atom_site_fract_z
_atom_site_occupancy
La1 La 0.000 0.000 0.000 1
La2 La 0.000 0.308 0.500 1
La3 La 0.239 0.400 0.000 1
Y1 Y 0.000 0.204 0.000 1
Er1 Er 0.000 0.500 0.500 1
```



Most stable: entry ii. Least stable: entry i.



Entry i
## La2YEr7 (PBE-GGA)

Data for an optimized crystal structure of La2YEr7.

D(E_F), states/eV per cell: 33.37
Volume, Å³/cell: 660
Total magnetization, μB/f.u.: 0.000

CIF file:
```
data_La2YEr7
_symmetry_space_group_name_H-M 'C m m m'
_symmetry_Int_Tables_number 65
_symmetry_space_group_name_Hall '-C 2 2'
_cell_length_a 6.512
_cell_length_b 28.833
_cell_length_c 3.515
_cell_angle_alpha 90.00
_cell_angle_beta 90.00
_cell_angle_gamma 90.00
loop_
_atom_site_label
_atom_site_type_symbol
_atom_site_fract_x
_atom_site_fract_y
_atom_site_fract_z
_atom_site_occupancy
La1 La 0.000 0.207 0.000 1
Y1 Y 0.000 0.500 0.500 1
Er1 Er 0.000 0.000 0.000 1
Er2 Er 0.000 0.317 0.500 1
Er3 Er 0.245 0.403 0.000 1
```



Entry ii
## La2YEr7 (PBE-GGA)

Data for an optimized crystal structure of La2YEr7.

D(E_F), states/eV per cell: 14.04
Volume, Å³/cell: 319
Total magnetization, μB/f.u.: 0.000

CIF file:
```
data_La2YEr7
_symmetry_space_group_name_H-M 'P -1'
_symmetry_Int_Tables_number 2
_symmetry_space_group_name_Hall '-P 1'
_cell_length_a 6.154
_cell_length_b 6.166
_cell_length_c 9.434
_cell_angle_alpha 70.96
_cell_angle_beta 71.02
_cell_angle_gamma 80.33
loop_
_atom_site_label
_atom_site_type_symbol
_atom_site_fract_x
_atom_site_fract_y
_atom_site_fract_z
_atom_site_occupancy
La1 La 0.099 0.000 0.299 1
Y1 Y 0.000 0.500 0.000 1
Er1 Er 0.202 0.499 0.600 1
Er2 Er 0.302 0.000 0.901 1
Er3 Er 0.402 0.499 0.200 1
Er4 Er 0.500 0.000 0.500 1
```



Most stable: entry ii. Least stable: entry i.